# 1
Entry from the Alexandria database: an optimized crystal structure of LaTmSc2 (PBE).

a b c (Å): 11.1954 11.1954 11.1954
angles (deg): 17.76 17.76 17.76
With the nearest neighbours (Å) after each atom.
Atoms (fractional coordinates):
La  0.0000  0.0000  0.0000  6 Sc 3.45, 6 La 3.46
Tm  0.5000  0.5000  0.5000  6 Sc 3.35, 6 Tm 3.46
Sc  0.2482  0.2482  0.2482  3 Tm 3.35, 3 La 3.45, 6 Sc 3.46
Sc  0.7518  0.7518  0.7518  3 Tm 3.35, 3 La 3.45, 6 Sc 3.46

Output
Magnetic moment   0.00 μB per formula unit
Space group   No. 166
Energy relative to the elements   71 meV per atom
Offset from the most stable computed form   15 meV per atom

***

# 2
Entry from the Alexandria database: an optimized crystal structure of La2Tm2Sc (PBE).

a b c (Å): 6.4914 6.4914 8.7813
angles (deg): 93.23 93.23 120.20
With the nearest neighbours (Å) after each atom.
Atoms (fractional coordinates):
La  0.0503  0.6928  0.6599  1 Sc 3.19, 2 La 3.42-3.45, 1 Tm 3.50
La  0.3072  0.9497  0.3401  1 Sc 3.19, 2 La 3.42-3.45, 1 Tm 3.50
La  0.6928  0.0503  0.6599  1 Sc 3.19, 2 La 3.42-3.45, 1 Tm 3.50
La  0.9497  0.3072  0.3401  1 Sc 3.19, 2 La 3.42-3.45, 1 Tm 3.50
Tm  0.2382  0.2382  0.0330  2 Tm 3.07-3.39, 4 Sc 3.10-3.43
Tm  0.3648  0.3648  0.6690  3 Tm 3.39-3.61, 6 La 3.62-3.77
Tm  0.6352  0.6352  0.3310  3 Tm 3.39-3.61, 6 La 3.62-3.77
Tm  0.7618  0.7618  0.9670  2 Tm 3.07-3.39, 4 Sc 3.10-3.43
Sc  0.2724  0.7276  0.0000  4 Tm 3.10-3.43, 2 La 3.19, 2 Sc 3.28
Sc  0.7276  0.2724  0.0000  4 Tm 3.10-3.43, 2 La 3.19, 2 Sc 3.28

Output
Magnetic moment   0.00 μB per formula unit
Space group   No. 12
Energy relative to the elements   128 meV per atom

***

# 3
Entry from the Alexandria database: an optimized crystal structure of LaTmSc2 (PBE).

a b c (Å): 5.0321 5.0321 4.5430
angles (deg): 90.00 90.00 90.00
With the nearest neighbours (Å) after each atom.
Atoms (fractional coordinates):
La  0.0000  0.0000  0.0000  8 Sc 3.39, 4 Tm 3.56
Tm  0.5000  0.5000  0.0000  8 Sc 3.39, 4 La 3.56
Sc  0.0000  0.5000  0.5000  4 La 3.39, 4 Tm 3.39, 4 Sc 3.56
Sc  0.5000  0.0000  0.5000  4 La 3.39, 4 Tm 3.39, 4 Sc 3.56

Output
Magnetic moment   0.00 μB per formula unit
Space group   No. 123
Energy relative to the elements   72 meV per atom
Offset from the most stable computed form   16 meV per atom

***

# 4
Entry from the Alexandria database: an optimized crystal structure of La3Tm8Sc (PBE).

a b c (Å): 8.3336 8.3336 8.3336
angles (deg): 116.69 116.69 95.83
With the nearest neighbours (Å) after each atom.
Atoms (fractional coordinates):
La  0.0000  0.0000  0.0000  8 Tm 3.31-3.34
La  0.2500  0.7500  0.5000  4 Tm 3.47
La  0.7500  0.2500  0.5000  4 Tm 3.47
Tm  0.1387  0.1387  0.7519  1 Sc 3.06, 3 Tm 3.07-3.25, 1 La 3.31
Tm  0.2401  0.7028  0.0000  1 Sc 2.88, 1 Tm 3.17
Tm  0.2972  0.2972  0.5373  1 Sc 2.88, 1 Tm 3.17
Tm  0.3868  0.3868  0.2481  1 Sc 3.06, 3 Tm 3.07-3.25, 1 La 3.31
Tm  0.6132  0.8613  0.0000  1 Sc 3.06, 3 Tm 3.07-3.25, 1 La 3.31
Tm  0.7028  0.2401  0.0000  1 Sc 2.88, 1 Tm 3.17
Tm  0.7599  0.7599  0.4627  1 Sc 2.88, 1 Tm 3.17
Tm  0.8613  0.6132  0.0000  1 Sc 3.06, 3 Tm 3.07-3.25, 1 La 3.31
Sc  0.5000  0.5000  0.0000  8 Tm 2.88-3.06

Output
Magnetic moment   0.00 μB per formula unit
Space group   No. 121
Energy relative to the elements   583 meV per atom

***

# 5
Entry from the Alexandria database: an optimized crystal structure of La4Tm3Sc (PBE).

a b c (Å): 12.5331 12.5331 6.1839
angles (deg): 92.76 92.76 15.64
With the nearest neighbours (Å) after each atom.
Atoms (fractional coordinates):
La  0.1034  0.1034  0.2223  3 Tm 3.16-3.23, 2 Sc 3.32, 4 La 3.34-3.41
La  0.2806  0.2806  0.7542  4 La 3.34-3.41, 1 Tm 3.51
La  0.7194  0.7194  0.2458  4 La 3.34-3.41, 1 Tm 3.51
La  0.8966  0.8966  0.7777  3 Tm 3.16-3.23, 2 Sc 3.32, 4 La 3.34-3.41
Tm  0.0000  0.0000  0.5000  2 La 3.16, 2 Tm 3.41, 4 Sc 3.53
Tm  0.1392  0.1392  0.7278  3 La 3.21-3.51, 2 Tm 3.41
Tm  0.8608  0.8608  0.2722  3 La 3.21-3.51, 2 Tm 3.41
Sc  0.5000  0.5000  0.0000  4 La 3.32, 2 Sc 3.41, 4 Tm 3.53

Output
Magnetic moment   0.00 μB per formula unit
Space group   No. 12
Energy relative to the elements   255 meV per atom

***

# 6
Entry from the Alexandria database: an optimized crystal structure of La4Tm6Sc (PBE).

a b c (Å): 9.6811 9.6811 9.6811
angles (deg): 139.87 139.87 58.06
With the nearest neighbours (Å) after each atom.
Atoms (fractional coordinates):
La  0.1372  0.1372  0.6261  1 Sc 3.46, 7 Tm 3.47-3.84, 1 La 3.51
La  0.4889  0.8628  0.0000  1 Sc 3.46, 7 Tm 3.47-3.84, 1 La 3.51
La  0.5111  0.5111  0.3739  1 Sc 3.46, 7 Tm 3.47-3.84, 1 La 3.51
La  0.8628  0.4889  0.0000  1 Sc 3.46, 7 Tm 3.47-3.84, 1 La 3.51
Tm  0.0000  0.5000  0.5000  4 Tm 3.17, 2 Sc 3.32
Tm  0.0570  0.7045  0.0000  3 Tm 3.17-3.31, 3 La 3.47-3.51
Tm  0.2955  0.2955  0.3524  3 Tm 3.17-3.31, 3 La 3.47-3.51
Tm  0.5000  0.0000  0.5000  4 Tm 3.17, 2 Sc 3.32
Tm  0.7045  0.0570  0.0000  3 Tm 3.17-3.31, 3 La 3.47-3.51
Tm  0.9430  0.9430  0.6476  3 Tm 3.17-3.31, 3 La 3.47-3.51
Sc  0.5000  0.5000  0.0000  8 Tm 3.32-3.65, 4 La 3.46

Output
Magnetic moment   0.00 μB per formula unit
Space group   No. 121
Energy relative to the elements   292 meV per atom

***

# 7
Entry from the Alexandria database: an optimized crystal structure of LaTm2Sc4 (PBE).

a b c (Å): 6.2247 8.3721 8.3729
angles (deg): 66.49 81.08 81.08
With the nearest neighbours (Å) after each atom.
Atoms (fractional coordinates):
La  0.0000  0.0000  0.0000  5 Sc 3.28-3.52, 2 Tm 3.36-3.39, 1 La 3.59
La  0.4013  0.1531  0.1553  5 Sc 3.27-3.52, 2 Tm 3.36-3.40, 1 La 3.59
Tm  0.0982  0.3349  0.6097  8 Sc 3.11-3.40, 1 La 3.39, 2 Tm 3.40-3.47
Tm  0.3030  0.5434  0.8195  8 Sc 3.11-3.39, 1 La 3.40, 2 Tm 3.40-3.47
Tm  0.5007  0.7806  0.0138  5 Sc 3.10-3.45, 1 La 3.36
Tm  0.9001  0.1401  0.3737  5 Sc 3.10-3.45, 1 La 3.36
Sc  0.0114  0.5531  0.1834  5 Sc 3.17-3.43, 3 Tm 3.31-3.39, 1 La 3.42
Sc  0.2004  0.7472  0.4068  6 Sc 3.24-3.35, 4 Tm 3.30-3.45, 2 La 3.51-3.52
Sc  0.3896  0.9700  0.6013  5 Sc 3.17-3.43, 3 Tm 3.31-3.39, 1 La 3.42
Sc  0.4962  0.4223  0.3261  3 Tm 3.10-3.13, 6 Sc 3.20-3.45, 1 La 3.27
Sc  0.6089  0.2156  0.7216  5 Sc 3.17-3.46, 4 Tm 3.23-3.41, 2 La 3.41-3.52
Sc  0.7003  0.6485  0.5054  8 Sc 3.24-3.44, 2 Tm 3.26
Sc  0.7921  0.4322  0.9383  5 Sc 3.17-3.45, 4 Tm 3.23-3.42, 2 La 3.42-3.51
Sc  0.9052  0.8274  0.7320  3 Tm 3.10-3.13, 6 Sc 3.20-3.46, 1 La 3.28

Output
Magnetic moment   0.00 μB per formula unit
Space group   No. 1
Energy relative to the elements   78 meV per atom

***

# 8
Entry from the Alexandria database: an optimized crystal structure of LaTm3Sc6 (PBE).

a b c (Å): 6.5317 6.5317 6.5317
angles (deg): 90.16 90.16 90.16
With the nearest neighbours (Å) after each atom.
Atoms (fractional coordinates):
La  0.0000  0.0000  0.0000  2 Tm 2.82, 3 Sc 3.13
Tm  0.2504  0.2504  0.2504  1 Tm 2.82, 1 La 2.82
Tm  0.5000  0.5000  0.5000  2 Tm 2.82, 3 Sc 3.03
Tm  0.7496  0.7496  0.7496  1 Tm 2.82, 1 La 2.82
Sc  0.0000  0.3383  0.6617  1 La 3.13, 2 Tm 3.20
Sc  0.1721  0.8279  0.5000  3 Tm 3.03-3.25
Sc  0.3383  0.6617  0.0000  1 La 3.13, 2 Tm 3.20
Sc  0.5000  0.1721  0.8279  3 Tm 3.03-3.25
Sc  0.6617  0.0000  0.3383  1 La 3.13, 2 Tm 3.20
Sc  0.8279  0.5000  0.1721  3 Tm 3.03-3.25

Output
Magnetic moment   0.08 μB per formula unit
Space group   No. 155
Energy relative to the elements   402 meV per atom
Offset from the most stable computed form   241 meV per atom

***

# 9
Entry from the Alexandria database: an optimized crystal structure of LaTm2Sc (PBE).

a b c (Å): 4.9086 4.9086 5.0435
angles (deg): 90.00 90.00 90.00
With the nearest neighbours (Å) after each atom.
Atoms (fractional coordinates):
La  0.0000  0.0000  0.0000  4 Sc 3.47, 8 Tm 3.52
Tm  0.0000  0.5000  0.5000  4 Tm 3.47, 4 La 3.52, 4 Sc 3.52
Tm  0.5000  0.0000  0.5000  4 Tm 3.47, 4 La 3.52, 4 Sc 3.52
Sc  0.5000  0.5000  0.0000  4 La 3.47, 8 Tm 3.52

Output
Magnetic moment   0.01 μB per formula unit
Space group   No. 123
Energy relative to the elements   62 meV per atom
Offset from the most stable computed form   24 meV per atom

***

# 10
Entry from the Alexandria database: an optimized crystal structure of LaTm5Sc2 (PBE).

a b c (Å): 8.2176 7.0498 6.5433
angles (deg): 74.29 55.67 50.04
With the nearest neighbours (Å) after each atom.
Atoms (fractional coordinates):
La  0.0000  0.0000  0.0000  2 Sc 3.41, 10 Tm 3.45-3.59
Tm  0.4114  0.4114  0.0886  6 Tm 3.43-3.53, 2 La 3.45, 4 Sc 3.52-3.53
Tm  0.4936  0.9940  0.5064  4 Sc 3.40-3.45, 6 Tm 3.43-3.54, 2 La 3.46-3.59
Tm  0.4951  0.4951  0.5049  2 Sc 3.39, 8 Tm 3.43-3.54, 2 La 3.54
Tm  0.9114  0.9114  0.5886  6 Tm 3.43-3.53, 2 La 3.45, 4 Sc 3.52-3.53
Tm  0.9940  0.4936  0.0060  4 Sc 3.40-3.45, 6 Tm 3.43-3.54, 2 La 3.46-3.59
Sc  0.4143  0.9076  0.0924  9 Tm 3.39-3.53, 1 La 3.41, 2 Sc 3.54
Sc  0.9076  0.4143  0.5857  9 Tm 3.39-3.53, 1 La 3.41, 2 Sc 3.54

Output
Magnetic moment   0.00 μB per formula unit
Space group   No. 42
Energy relative to the elements   34 meV per atom

***

# 11
Entry from the Alexandria database: an optimized crystal structure of LaTm2Sc (PBE).

a b c (Å): 6.6055 6.6055 6.6055
angles (deg): 148.41 64.51 125.35
With the nearest neighbours (Å) after each atom.
Atoms (fractional coordinates):
La  0.0000  0.0000  0.0000  6 Tm 3.46-3.52, 4 Sc 3.46-3.59, 2 La 3.60
Tm  0.1183  0.3587  0.7596  3 Sc 3.36-3.58, 3 La 3.46-3.52, 6 Tm 3.53-3.60
Tm  0.5990  0.3587  0.2404  3 Sc 3.36-3.58, 3 La 3.46-3.52, 6 Tm 3.53-3.60
Sc  0.5117  0.0117  0.5000  6 Tm 3.36-3.58, 4 La 3.46-3.59, 2 Sc 3.60

Output
Magnetic moment   0.00 μB per formula unit
Space group   No. 44
Energy relative to the elements   38 meV per atom
Offset from the most stable computed form   0 meV per atom

***

# 12
Entry from the Alexandria database: an optimized crystal structure of LaTm2Sc7 (PBE).

a b c (Å): 8.5039 8.5039 8.5039
angles (deg): 144.29 128.24 64.47
With the nearest neighbours (Å) after each atom.
Atoms (fractional coordinates):
La  0.0000  0.0000  0.0000  2 Sc 3.15
Tm  0.3482  0.8482  0.5000  10 Sc 3.20-3.45
Tm  0.6518  0.1518  0.5000  10 Sc 3.20-3.45
Sc  0.0645  0.3672  0.6973  5 Sc 2.93-3.24
Sc  0.2191  0.2191  0.0000  6 Sc 3.10-3.24, 1 La 3.15, 2 Tm 3.20
Sc  0.3300  0.6328  0.6973  5 Sc 2.93-3.24
Sc  0.5000  0.5000  0.0000  4 Sc 2.95
Sc  0.6700  0.3672  0.3027  5 Sc 2.93-3.24
Sc  0.7809  0.7809  0.0000  6 Sc 3.10-3.24, 1 La 3.15, 2 Tm 3.20
Sc  0.9355  0.6328  0.3027  5 Sc 2.93-3.24

Output
Magnetic moment   0.01 μB per formula unit
Space group   No. 71
Energy relative to the elements   179 meV per atom

***

Number 1: volume 114 Å³ per cell, DOS(E_F) 6.00 states/eV/f.u.. Number 2: volume 318 Å³ per cell, DOS(E_F) 6.73 states/eV/f.u.. Number 3: volume 115 Å³ per cell, DOS(E_F) 7.31 states/eV/f.u.. Number 4: volume 427 Å³ per cell, DOS(E_F) 17.29 states/eV/f.u.. Number 5: volume 261 Å³ per cell, DOS(E_F) 12.17 states/eV/f.u.. Number 6: volume 374 Å³ per cell, DOS(E_F) 14.82 states/eV/f.u.. Number 7: volume 393 Å³ per cell, DOS(E_F) 11.04 states/eV/f.u.. Number 8: volume 279 Å³ per cell, DOS(E_F) 22.31 states/eV/f.u.. Number 9: volume 122 Å³ per cell, DOS(E_F) 7.40 states/eV/f.u.. Number 10: volume 237 Å³ per cell, DOS(E_F) 13.89 states/eV/f.u.. Number 11: volume 122 Å³ per cell, DOS(E_F) 5.94 states/eV/f.u.. Number 12: volume 278 Å³ per cell, DOS(E_F) 18.91 states/eV/f.u..